(1)
# GGA-PBE PrErHgRu, optimized geometry
data_PrErHgRu
_chemical_formula_sum 'Pr1 Er1 Hg1 Ru1'
_cell_length_a 3.523
_cell_length_b 3.523
_cell_length_c 7.672
_cell_angle_alpha 90.00
_cell_angle_beta 90.00
_cell_angle_gamma 90.00
_space_group_name_H-M_alt 'P 4 m m'
_space_group_IT_number 99
loop_
_space_group_symop_operation_xyz
'x,y,z'
'-y,x,z'
'-x,-y,z'
'y,-x,z'
'-x,y,z'
'y,x,z'
'x,-y,z'
'-y,-x,z'
loop_
_atom_site_label
_atom_site_type_symbol
_atom_site_fract_x
_atom_site_fract_y
_atom_site_fract_z
Pr1 Pr 0.000 0.000 0.000
Er1 Er 0.000 0.000 0.559
Hg1 Hg 0.500 0.500 0.301
Ru1 Ru 0.500 0.500 0.763
# Polymorph energy (0 for the lowest one), kJ/mol of formula units: 0.0
# Formation energy, eV/atom: -0.395
# Density, g/cm³: 10.6

(2)
# GGA-PBE GaGe2Pt7, optimized geometry
data_GaGe2Pt7
_chemical_formula_sum 'Ga2 Ge4 Pt14'
_cell_length_a 4.025
_cell_length_b 4.025
_cell_length_c 20.215
_cell_angle_alpha 90.00
_cell_angle_beta 90.00
_cell_angle_gamma 90.00
_space_group_name_H-M_alt 'I 4/m m m'
_space_group_IT_number 139
_space_group_name_Hall '-I 4 2'
loop_
_atom_site_label
_atom_site_type_symbol
_atom_site_fract_x
_atom_site_fract_y
_atom_site_fract_z
Ga1 Ga 0.000 0.000 0.000
Ge1 Ge 0.000 0.000 0.328
Pt1 Pt 0.000 0.000 0.500
Pt2 Pt 0.000 0.500 0.096
Pt3 Pt 0.000 0.500 0.250
# Formation energy, eV/atom: -0.412
# Density, g/cm³: 16.0